A plane-wave DFT calculation with PBE-GGA was carried out for a geometry-optimized InMoAu2 structure.

extended XYZ file:
```
4
Lattice="-1.977 3.191 3.252 -1.219 0.759 4.754 4.391 2.428 1.717" Properties=species:S:1:pos:R:3 pbc="T T T"
Mo 0.243 1.558 2.399
Au -3.126 3.966 7.998
Au 0.894 4.796 7.315
In 0.587 3.196 4.879
```

Results
The calculation puts the energy of formation at 245 meV per atom.

***

A plane-wave DFT calculation with PBE-GGA was carried out for a geometry-optimized InMo2Au structure.

extended XYZ file:
```
4
Lattice="5.019 -0.009 0.000 1.647 4.741 0.000 -3.333 -2.366 2.913" Properties=species:S:1:pos:R:3 pbc="T T T"
In 2.510 -0.005 1.456
Mo 0.824 2.371 1.456
Mo 0.000 0.000 0.000
Au 3.333 2.366 0.000
```

Results
The calculation puts the energy of formation at 311 meV per atom.

***

A plane-wave DFT calculation with PBE-GGA was carried out for a geometry-optimized InMoAu2 structure.

extended XYZ file:
```
4
Lattice="4.122 0.000 0.000 0.000 4.120 0.000 0.000 0.000 4.289" Properties=species:S:1:pos:R:3 pbc="T T T"
Au 0.000 0.000 0.000
Au 2.061 2.060 0.000
In 2.061 0.000 2.145
Mo 0.000 2.060 2.145
```

Results
The calculation puts the energy of formation at 214 meV per atom.

***

A plane-wave DFT calculation with PBE-GGA was carried out for a geometry-optimized InMo2Au structure.

extended XYZ file:
```
4
Lattice="3.667 0.000 0.000 0.000 4.142 0.000 0.000 0.000 4.580" Properties=species:S:1:pos:R:3 pbc="T T T"
In 0.000 2.071 2.290
Mo 0.000 0.000 0.000
Mo 1.833 2.071 0.000
Au 1.833 0.000 2.290
```

Results
The calculation puts the energy of formation at 264 meV per atom.

***

A plane-wave DFT calculation with PBE-GGA was carried out for a geometry-optimized InMoAu2 structure.

extended XYZ file:
```
4
Lattice="-1.433 -2.948 -2.587 2.741 -0.613 -0.820 3.160 -4.660 3.560" Properties=species:S:1:pos:R:3 pbc="T T T"
In 0.759 -2.792 -0.609
Mo 3.709 -5.428 0.761
Au 2.958 -2.698 1.436
Au 3.153 -4.598 3.493
```

Results
The calculation puts the energy of formation at 239 meV per atom.

***

A plane-wave DFT calculation with PBE-GGA was carried out for a geometry-optimized In2MoAu structure.

extended XYZ file:
```
4
Lattice="-0.620 -2.730 1.167 3.974 -2.214 -3.068 5.546 -0.615 1.506" Properties=species:S:1:pos:R:3 pbc="T T T"
In 1.677 -2.472 -0.950
In 0.000 0.000 0.000
Mo 4.450 -2.779 -0.197
Au 2.773 -0.308 0.753
```

Results
The calculation puts the energy of formation at 225 meV per atom.

***

A plane-wave DFT calculation with PBE-GGA was carried out for a geometry-optimized InMoAu2 structure.

extended XYZ file:
```
4
Lattice="-1.217 9.384 -1.947 -4.025 8.701 -1.194 -2.038 9.398 0.924" Properties=species:S:1:pos:R:3 pbc="T T T"
Au -3.614 13.641 -1.100
Au -0.027 0.100 -0.008
In -1.820 6.871 -0.554
Mo -5.460 20.612 -1.662
```

Results
The calculation puts the energy of formation at 275 meV per atom.

***

A plane-wave DFT calculation with PBE-GGA was carried out for a geometry-optimized In2MoAu structure.

extended XYZ file:
```
4
Lattice="3.642 0.000 0.000 0.000 3.642 0.000 0.000 0.000 5.960" Properties=species:S:1:pos:R:3 pbc="T T T"
In 1.821 1.821 1.680
In 0.000 0.000 5.846
Au 1.821 1.821 4.496
Mo 0.000 0.000 2.877
```

Results
The calculation puts the energy of formation at 316 meV per atom.

***

A plane-wave DFT calculation with PBE-GGA was carried out for a geometry-optimized InMoAu2 structure.

extended XYZ file:
```
4
Lattice="-2.639 1.755 5.043 1.210 -2.571 5.235 1.600 3.145 -4.799" Properties=species:S:1:pos:R:3 pbc="T T T"
Au -0.023 -0.013 0.163
Au -0.692 -0.395 4.976
Mo 1.047 0.083 2.788
In -0.877 2.246 2.692
```

Results
The calculation puts the energy of formation at 298 meV per atom.

***

A plane-wave DFT calculation with PBE-GGA was carried out for a geometry-optimized InMoAu structure.

extended XYZ file:
```
3
Lattice="-4.938 -2.578 3.759 -2.622 -4.170 4.572 0.204 1.553 2.471" Properties=species:S:1:pos:R:3 pbc="T T T"
Au -7.497 -6.681 8.284
Mo -2.418 -1.250 4.450
In -5.001 -4.012 6.400
```

Results
The calculation puts the energy of formation at 257 meV per atom.

***

A plane-wave DFT calculation with PBE-GGA was carried out for a geometry-optimized InMoAu structure.

extended XYZ file:
```
3
Lattice="-3.532 -3.008 -0.650 4.370 -1.600 0.543 -0.412 -0.142 2.897" Properties=species:S:1:pos:R:3 pbc="T T T"
Au -0.069 -0.024 0.481
Mo 1.461 -2.164 2.076
In -0.967 -2.563 0.233
```

Results
The calculation puts the energy of formation at 396 meV per atom.

***

A plane-wave DFT calculation with PBE-GGA was carried out for a geometry-optimized In2MoAu structure.

extended XYZ file:
```
4
Lattice="3.018 0.000 0.000 0.000 3.018 0.000 0.000 0.000 8.483" Properties=species:S:1:pos:R:3 pbc="T T T"
Au 1.509 1.509 6.362
Mo 1.509 1.509 2.121
In 0.000 0.000 4.161
In 0.000 0.000 0.081
```

Results
The calculation puts the energy of formation at 258 meV per atom.

***

A plane-wave DFT calculation with PBE-GGA was carried out for a geometry-optimized InMo2Au structure.

extended XYZ file:
```
4
Lattice="4.939 0.000 0.000 0.000 4.939 0.000 0.000 0.000 2.879" Properties=species:S:1:pos:R:3 pbc="T T T"
Mo 2.470 2.470 0.000
Mo 0.000 0.000 0.000
In 0.000 2.470 1.440
Au 2.470 0.000 1.440
```

Results
The calculation puts the energy of formation at 499 meV per atom.

***

A plane-wave DFT calculation with PBE-GGA was carried out for a geometry-optimized InMo2Au structure.

extended XYZ file:
```
4
Lattice="-1.963 -1.303 -1.566 2.034 -1.100 -1.630 0.436 -6.944 5.230" Properties=species:S:1:pos:R:3 pbc="T T T"
Mo 0.215 -3.427 2.581
Mo 0.003 -0.045 0.034
In 0.362 -6.409 2.324
Au 0.144 -2.937 -0.291
```

Results
The calculation puts the energy of formation at 375 meV per atom.

***

A plane-wave DFT calculation with PBE-GGA was carried out for a geometry-optimized In2MoAu structure.

extended XYZ file:
```
4
Lattice="0.000 3.370 3.370 3.370 0.000 3.370 3.370 3.370 0.000" Properties=species:S:1:pos:R:3 pbc="T T T"
In 5.055 5.055 5.055
In 1.685 1.685 1.685
Au 3.370 3.370 3.370
Mo 0.000 0.000 0.000
```

Results
The calculation puts the energy of formation at 387 meV per atom.

***

A plane-wave DFT calculation with PBE-GGA was carried out for a geometry-optimized InMo2Au structure.

extended XYZ file:
```
4
Lattice="9.660 -0.015 -0.009 9.221 2.877 -0.009 9.221 1.398 2.515" Properties=species:S:1:pos:R:3 pbc="T T T"
Mo 14.106 2.138 1.253
Mo 28.047 4.251 2.492
In 21.077 3.194 1.873
Au 7.026 1.065 0.624
```

Results
The calculation puts the energy of formation at 463 meV per atom.

***

A plane-wave DFT calculation with PBE-GGA was carried out for a geometry-optimized In2MoAu structure.

extended XYZ file:
```
4
Lattice="-0.931 0.187 5.603 -4.880 -2.363 1.702 5.097 -0.652 -2.428" Properties=species:S:1:pos:R:3 pbc="T T T"
Mo 0.630 -0.777 3.414
In -2.890 -1.082 3.633
In -0.015 -0.006 0.019
Au -1.345 -2.051 1.463
```

Results
The calculation puts the energy of formation at 345 meV per atom.

***

A plane-wave DFT calculation with PBE-GGA was carried out for a geometry-optimized InMoAu structure.

extended XYZ file:
```
3
Lattice="2.991 0.000 0.000 -1.496 2.590 0.000 0.000 0.000 7.128" Properties=species:S:1:pos:R:3 pbc="T T T"
In 1.496 0.863 2.414
Mo 0.000 1.727 4.793
Au 0.000 0.000 7.050
```

Results
The calculation puts the energy of formation at 297 meV per atom.

***

A plane-wave DFT calculation with PBE-GGA was carried out for a geometry-optimized InMoAu2 structure.

extended XYZ file:
```
4
Lattice="2.917 0.000 0.000 0.000 4.042 0.000 0.000 0.000 6.166" Properties=species:S:1:pos:R:3 pbc="T T T"
In 0.000 0.000 3.107
Au 1.459 2.021 1.516
Au 0.000 0.000 6.108
Mo 1.459 2.021 4.685
```

Results
The calculation puts the energy of formation at 244 meV per atom.

***

A plane-wave DFT calculation with PBE-GGA was carried out for a geometry-optimized In2MoAu structure.

extended XYZ file:
```
4
Lattice="5.121 0.011 0.000 -1.410 4.923 0.000 0.000 0.000 3.040" Properties=species:S:1:pos:R:3 pbc="T T T"
Au -0.705 2.461 1.520
In 1.855 2.467 0.000
In 0.000 0.000 0.000
Mo 2.560 0.006 1.520
```

Results
The calculation puts the energy of formation at 169 meV per atom.